Crystalline Cs3PbF5 at its relaxed geometry. Source: the Alexandria database, functional PBE.

Geometry as POSCAR:
```
Cs3PbF5
1.0
8.137 0.000 0.000
0.000 8.137 0.000
-4.069 -4.069 7.269
Cs F Pb
6 10 2
direct
0.680 0.180 0.000 Cs
0.820 0.680 0.000 Cs
0.180 0.320 0.000 Cs
0.750 0.750 0.500 Cs
0.320 0.820 0.000 Cs
0.250 0.250 0.500 Cs
0.189 0.006 0.695 F
0.494 0.311 0.305 F
0.006 0.506 0.695 F
0.000 0.000 0.000 F
0.689 0.189 0.695 F
0.500 0.500 0.000 F
0.311 0.811 0.305 F
0.506 0.689 0.695 F
0.994 0.494 0.305 F
0.811 0.994 0.305 F
0.250 0.750 0.500 Pb
0.750 0.250 0.500 Pb
```

Computed properties:
V (Å³/atom): 26.7
Formation energy (no corrections) (eV per atom): -2.516
Mass density (Mg/m³): 4.836